This record from Alexandria describes a crystal of HfTa3Bi relaxed with PBEsol. The functional is meta-GGA SCAN.

Unit cell a=4.9126 b=4.9126 c=4.9126 alpha=90.00 beta=90.00 gamma=90.00
Closest atoms and distances in Å follow each position.
Space group Pm-3m (No. 221)
One atom of each set of equivalent atoms:
Hf 0.0000 0.0000 0.0000 [1 per cell]  6 Ta 2.46
Ta 0.0000 0.0000 0.5000 [3 per cell]  2 Hf 2.46
Bi 0.5000 0.5000 0.5000 [1 per cell]  12 Ta 3.47

Results
* E_form: 840 kJ/mol of formula units